Arrangement A

First-principles (PBE-GGA) data for a geometry-optimized TlCrSb structure, as listed in the Alexandria database.

Properties
The density of states at the Fermi level is 5.211 states/eV per cell.

abc: 4.561 4.561 6.403
angles: 90.00 90.00 90.00
Space group P4/nmm (No. 129, origin choice 2)
One atom of each set of equivalent atoms:
Tl1 0.250 0.250 0.188 [2 per cell]
Cr1 0.250 0.750 0.500 [2 per cell]
Sb1 0.250 0.250 0.713 [2 per cell]

***

Arrangement B

First-principles (PBE-GGA) data for a geometry-optimized TlCrSb structure, as listed in the Alexandria database.

Properties
The density of states at the Fermi level is 1.434 states/eV per cell.

abc: 4.3462 4.3462 4.9941
angles: 90.00 90.00 120.00
Space group P3m1 (No. 156)
One atom of each set of equivalent atoms:
Tl1 0.0000 0.0000 0.0000 [1 per cell]
Cr1 0.6667 0.3333 0.6269 [1 per cell]
Sb1 0.3333 0.6667 0.4185 [1 per cell]

***

How do the energies compare? Relative to the most stable structure, in meV/atom: arrangement A 86; arrangement B 0.

***

Arrangement A

First-principles (PBE-GGA) data for a geometry-optimized VCrSb2 structure, as listed in the Alexandria database.

Properties
The density of states at the Fermi level is 19.429 states/eV per cell.

abc: 6.702 6.702 6.702
angles: 90.00 90.00 90.00
Space group Fm-3m (No. 225)
One atom of each set of equivalent atoms:
V1 0.000 0.000 0.000 [4 per cell]
Cr1 0.000 0.000 0.500 [4 per cell]
Sb1 0.250 0.250 0.250 [8 per cell]

***

Arrangement B

First-principles (PBE-GGA) data for a geometry-optimized VCrSb2 structure, as listed in the Alexandria database.

Properties
The density of states at the Fermi level is 11.067 states/eV per cell.

abc: 6.052 6.052 12.694
angles: 90.00 90.00 90.00
Space group I-42d (No. 122)
One atom of each set of equivalent atoms:
V1 0.000 0.000 0.000 [4 per cell]
Cr1 0.000 0.000 0.500 [4 per cell]
Sb1 0.248 0.250 0.125 [8 per cell]

***

Arrangement C

First-principles (PBE-GGA) data for a geometry-optimized VCrSb2 structure, as listed in the Alexandria database.

Properties
The density of states at the Fermi level is 7.633 states/eV per cell.

abc: 3.3300 3.3300 27.8658
angles: 90.00 90.00 120.00
Space group R-3m (No. 166, hexagonal axes)
One atom of each set of equivalent atoms:
V1 0.0000 0.0000 0.0000 [3 per cell]
Cr1 0.0000 0.0000 0.5000 [3 per cell]
Sb1 0.0000 0.0000 0.4021 [6 per cell]

***

How do the energies compare? Relative to the most stable structure, in meV/atom: arrangement A 0; arrangement B 323; arrangement C 162.

***

Arrangement A

First-principles (PBE-GGA) data for a geometry-optimized V2Cr2Sb structure, as listed in the Alexandria database.

Properties
The density of states at the Fermi level is 9.347 states/eV per cell.

abc: 6.879 6.879 3.098
angles: 90.00 90.00 90.00
Space group P4/mbm (No. 127)
One atom of each set of equivalent atoms:
V1 0.191 0.309 0.000 [4 per cell]
Cr1 0.103 0.603 0.500 [4 per cell]
Sb1 0.000 0.000 0.500 [2 per cell]

***

Arrangement B

First-principles (PBE-GGA) data for a geometry-optimized V2Cr2Sb structure, as listed in the Alexandria database.

Properties
The density of states at the Fermi level is 11.851 states/eV per cell.

abc: 3.943 3.943 9.890
angles: 90.00 90.00 90.00
Space group I4/mmm (No. 139)
One atom of each set of equivalent atoms:
V1 0.000 0.500 0.250 [4 per cell]
Cr1 0.000 0.000 0.111 [4 per cell]
Sb1 0.000 0.000 0.500 [2 per cell]

***

How do the energies compare? Relative to the most stable structure, in meV/atom: arrangement A 0; arrangement B 200.

***

Arrangement A

First-principles (PBE-GGA) data for a geometry-optimized Cr3SbW structure, as listed in the Alexandria database.

Properties
The density of states at the Fermi level is 3.408 states/eV per cell.

abc: 4.893 4.893 4.893
angles: 90.00 90.00 90.00
Space group Pm-3m (No. 221)
One atom of each set of equivalent atoms:
Cr1 0.000 0.000 0.500 [3 per cell]
Sb1 0.000 0.000 0.000 [1 per cell]
W1 0.500 0.500 0.500 [1 per cell]

***

Arrangement B

First-principles (PBE-GGA) data for a geometry-optimized Cr3SbW structure, as listed in the Alexandria database.

Properties
The density of states at the Fermi level is 3.734 states/eV per cell.

abc: 4.737 4.737 4.737
angles: 90.00 90.00 90.00
Space group Pm-3m (No. 221)
One atom of each set of equivalent atoms:
Cr1 0.000 0.000 0.500 [3 per cell]
Sb1 0.500 0.500 0.500 [1 per cell]
W1 0.000 0.000 0.000 [1 per cell]

***

How do the energies compare? Relative to the most stable structure, in meV/atom: arrangement A 617; arrangement B 0.

***

Arrangement A

First-principles (PBE-GGA) data for a geometry-optimized CrSbW structure, as listed in the Alexandria database.

Properties
The density of states at the Fermi level is 10.035 states/eV per cell.

abc: 6.156 6.156 6.156
angles: 90.00 90.00 90.00
Space group F-43m (No. 216)
One atom of each set of equivalent atoms:
Cr1 0.000 0.000 0.000 [4 per cell]
Sb1 0.000 0.000 0.500 [4 per cell]
W1 0.250 0.250 0.750 [4 per cell]

***

Arrangement B

First-principles (PBE-GGA) data for a geometry-optimized CrSbW structure, as listed in the Alexandria database.

Properties
The density of states at the Fermi level is 2.894 states/eV per cell.

abc: 4.3821 4.3821 2.9649
angles: 90.00 90.00 120.00
Space group P3m1 (No. 156)
One atom of each set of equivalent atoms:
Cr1 0.0000 0.0000 0.0000 [1 per cell]
Sb1 0.6667 0.3333 0.1449 [1 per cell]
W1 0.3333 0.6667 0.6517 [1 per cell]

***

How do the energies compare? Relative to the most stable structure, in meV/atom: arrangement A 163; arrangement B 0.

***

Arrangement A

First-principles (PBE-GGA) data for a geometry-optimized CrSbW structure, as listed in the Alexandria database.

Properties
The density of states at the Fermi level is 6.332 states/eV per cell.

abc: 3.253 3.253 9.136
angles: 90.00 90.00 90.00
Space group I4mm (No. 107)
One atom of each set of equivalent atoms:
Cr1 0.000 0.000 0.000 [2 per cell]
Sb1 0.000 0.000 0.667 [2 per cell]
W1 0.000 0.000 0.349 [2 per cell]

***

Arrangement B

First-principles (PBE-GGA) data for a geometry-optimized CrSbW structure, as listed in the Alexandria database.

Properties
The density of states at the Fermi level is 3.603 states/eV per cell.

abc: 3.1001 3.1001 6.3622
angles: 90.00 90.00 120.00
Space group P3m1 (No. 156)
One atom of each set of equivalent atoms:
Cr1 0.0000 0.0000 0.0000 [1 per cell]
Sb1 0.3333 0.6667 0.3547 [1 per cell]
W1 0.6667 0.3333 0.7407 [1 per cell]

***

How do the energies compare? Relative to the most stable structure, in meV/atom: arrangement A 0; arrangement B 21.